(1)
# Pu2SbO

Crystalline Pu2SbO at its relaxed geometry (PBE, the Alexandria database).

Total DFT energy (no corrections) in eV for the cell shown: -86.10
Fermi-level density of states in states/eV/f.u.: 12.25
Formation energy (no corrections) in eV/atom: -1.326
Spin magnetization in μB per formula unit: 11.72

Cell and atoms, written as POSCAR:
```
Pu2SbO
1.0
1.851 -7.061 0.000
1.851 7.061 0.000
0.000 0.000 6.522
Pu Sb O
4 2 2
Direct
0.150 0.850 0.515 Pu
0.150 0.850 0.985 Pu
0.850 0.150 0.015 Pu
0.850 0.150 0.485 Pu
0.490 0.510 0.750 Sb
0.510 0.490 0.250 Sb
0.265 0.735 0.250 O
0.735 0.265 0.750 O
```


(2)
# PuSbO3

Crystalline PuSbO3 at its relaxed geometry (PBE, the Alexandria database).

Total DFT energy (no corrections) in eV for the cell shown: -41.70
Fermi-level density of states in states/eV/f.u.: 6.12
Formation energy (no corrections) in eV/atom: -1.674
Spin magnetization in μB per formula unit: 3.44

Cell and atoms, written as POSCAR:
```
PuSbO3
1.0
4.316 0.000 0.000
0.000 4.316 0.000
0.000 0.000 4.316
Pu Sb O
1 1 3
Direct
0.000 0.000 0.000 Pu
0.500 0.500 0.500 Sb
0.000 0.000 0.500 O
0.000 0.500 0.000 O
0.500 0.000 0.000 O
```


(3)
# Pu3SbO2

Crystalline Pu3SbO2 at its relaxed geometry (PBE, the Alexandria database).

Total DFT energy (no corrections) in eV for the cell shown: -137.24
Fermi-level density of states in states/eV/f.u.: 17.35
Formation energy (no corrections) in eV/atom: -1.931
Spin magnetization in μB per formula unit: 17.00

Cell and atoms, written as POSCAR:
```
Pu3SbO2
1.0
4.473 -5.306 0.000
4.473 5.306 0.000
0.000 0.000 5.595
Pu Sb O
6 2 4
Direct
0.108 0.892 0.750 Pu
0.182 0.416 0.750 Pu
0.416 0.182 0.250 Pu
0.584 0.818 0.750 Pu
0.818 0.584 0.250 Pu
0.892 0.108 0.250 Pu
0.318 0.682 0.250 Sb
0.682 0.318 0.750 Sb
0.161 0.161 0.000 O
0.161 0.161 0.500 O
0.839 0.839 0.000 O
0.839 0.839 0.500 O
```


(4)
# Pu3SbO3

Crystalline Pu3SbO3 at its relaxed geometry (PBE, the Alexandria database).

Total DFT energy (no corrections) in eV for the cell shown: -155.98
Fermi-level density of states in states/eV/f.u.: 16.43
Formation energy (no corrections) in eV/atom: -2.285
Spin magnetization in μB per formula unit: 15.01

Cell and atoms, written as POSCAR:
```
Pu3SbO3
1.0
9.280 0.000 0.000
-4.640 8.037 0.000
0.000 0.000 3.976
Pu Sb O
6 2 6
Direct
0.081 0.705 0.250 Pu
0.295 0.377 0.250 Pu
0.377 0.081 0.750 Pu
0.623 0.919 0.250 Pu
0.705 0.623 0.750 Pu
0.919 0.295 0.750 Pu
0.333 0.667 0.750 Sb
0.667 0.333 0.250 Sb
0.030 0.289 0.250 O
0.259 0.970 0.250 O
0.289 0.259 0.750 O
0.711 0.741 0.250 O
0.741 0.030 0.750 O
0.970 0.711 0.750 O
```